Entry 1:
# Ta3Pb GGA-PBE optimized geometry
# DFT total energy = -6.312 eV/atom
# crystal system = cubic
data_Ta3Pb
_chemical_formula_sum 'Ta3 Pb1'
_space_group_name_H-M_alt 'P 1'
_space_group_IT_number 1
_cell_length_a 5.2226
_cell_length_b 5.2226
_cell_length_c 5.2226
_cell_angle_alpha 90.00
_cell_angle_beta 90.00
_cell_angle_gamma 90.00
loop_
_space_group_symop_operation_xyz
'x,y,z'
loop_
_atom_site_label
_atom_site_type_symbol
_atom_site_fract_x
_atom_site_fract_y
_atom_site_fract_z
_atom_site_occupancy
Pb1 Pb 0.0000 0.0000 0.0000 1
Ta1 Ta 0.0000 0.0000 0.5000 1
Ta2 Ta 0.0000 0.5000 0.0000 1
Ta3 Ta 0.5000 0.0000 0.0000 1

---

Entry 2:
# TaPb GGA-PBE optimized geometry
# DFT total energy = -7.189 eV/atom
# crystal system = orthorhombic
# polymorph energy (0 for the lowest one) = 300 meV per atom
data_TaPb
_chemical_formula_sum 'Ta4 Pb4'
_space_group_name_H-M_alt 'P 1'
_space_group_IT_number 1
_cell_length_a 4.5056
_cell_length_b 5.9537
_cell_length_c 6.8425
_cell_angle_alpha 90.00
_cell_angle_beta 90.00
_cell_angle_gamma 90.00
loop_
_space_group_symop_operation_xyz
'x,y,z'
loop_
_atom_site_label
_atom_site_type_symbol
_atom_site_fract_x
_atom_site_fract_y
_atom_site_fract_z
_atom_site_occupancy
Pb1 Pb 0.7500 0.8634 0.1698 1
Ta1 Ta 0.2500 0.8597 0.4738 1
Ta2 Ta 0.7500 0.3597 0.0262 1
Pb2 Pb 0.2500 0.1366 0.8302 1
Pb3 Pb 0.7500 0.6366 0.6698 1
Pb4 Pb 0.2500 0.3634 0.3302 1
Ta3 Ta 0.7500 0.1403 0.5262 1
Ta4 Ta 0.2500 0.6403 0.9738 1

---

Q: Look up the DFT total energy of the first one.
A: -6.312 eV/atom

---

Repeat the second record exactly.
# TaPb GGA-PBE optimized geometry
# DFT total energy = -7.189 eV/atom
# crystal system = orthorhombic
# polymorph energy (0 for the lowest one) = 300 meV per atom
data_TaPb
_chemical_formula_sum 'Ta4 Pb4'
_space_group_name_H-M_alt 'P 1'
_space_group_IT_number 1
_cell_length_a 4.5056
_cell_length_b 5.9537
_cell_length_c 6.8425
_cell_angle_alpha 90.00
_cell_angle_beta 90.00
_cell_angle_gamma 90.00
loop_
_space_group_symop_operation_xyz
'x,y,z'
loop_
_atom_site_label
_atom_site_type_symbol
_atom_site_fract_x
_atom_site_fract_y
_atom_site_fract_z
_atom_site_occupancy
Pb1 Pb 0.7500 0.8634 0.1698 1
Ta1 Ta 0.2500 0.8597 0.4738 1
Ta2 Ta 0.7500 0.3597 0.0262 1
Pb2 Pb 0.2500 0.1366 0.8302 1
Pb3 Pb 0.7500 0.6366 0.6698 1
Pb4 Pb 0.2500 0.3634 0.3302 1
Ta3 Ta 0.7500 0.1403 0.5262 1
Ta4 Ta 0.2500 0.6403 0.9738 1